No. 1
The following is a PBE-GGA calculation of crystalline BaTa2Al at its relaxed geometry, from Alexandria.

Properties
As for the crystal system: tetragonal. As for the formation energy: 0.459 eV/atom.

POSCAR file:
```
BaTa2Al
1.0
-2.030 1.859 1.196
0.455 -1.238 2.696
7.320 6.784 1.878
Ba Ta Al
1 2 1
Direct
0.500 0.500 0.735
0.500 0.500 0.261
0.000 0.000 0.051
0.000 0.000 0.454
```



No. 2
The following is a PBE-GGA calculation of crystalline Pu3OsC3 at its relaxed geometry, from Alexandria.

Properties
As for the crystal system: monoclinic. As for the formation energy: -0.048 eV/atom.

POSCAR file:
```
Pu3OsC3
1.0
5.166 0.000 0.000
0.000 6.525 -1.088
0.000 0.143 6.523
C Os Pu
6 2 6
Direct
0.250 0.590 0.841
0.750 0.846 0.594
0.750 0.410 0.159
0.250 0.115 0.888
0.250 0.154 0.406
0.750 0.885 0.112
0.250 0.309 0.689
0.750 0.691 0.311
0.250 0.419 0.177
0.250 0.878 0.120
0.750 0.581 0.823
0.250 0.831 0.581
0.750 0.169 0.419
0.750 0.122 0.880
```



No. 3
The following is a PBE-GGA calculation of crystalline LaTe2PI at its relaxed geometry, from Alexandria.

Properties
As for the crystal system: tetragonal. The calculation puts the energy relative to the elements, uncorrected at 0.171 eV/atom.

POSCAR file:
```
LaTe2PI
1.0
-0.727 -1.096 6.139
3.857 -4.935 -0.424
4.866 3.697 1.236
I P Te La
1 1 2 1
Direct
0.000 0.000 0.500
0.500 0.500 0.500
0.000 0.500 0.000
0.500 0.000 0.000
0.000 0.000 0.000
```



No. 4
The following is a PBE-GGA calculation of crystalline MgInI5 at its relaxed geometry, from Alexandria.

Properties
As for the crystal system: monoclinic. The calculation puts the energy relative to the elements, uncorrected at -0.657 eV/atom.

POSCAR file:
```
MgInI5
1.0
0.038 4.296 -6.936
6.063 -4.751 -2.690
-9.280 -5.899 0.603
I In Mg
10 2 2
Direct
0.168 0.741 0.847
0.571 0.930 0.750
0.228 0.238 0.524
0.759 0.332 0.653
0.772 0.762 0.476
0.738 0.728 0.024
0.241 0.668 0.347
0.832 0.259 0.153
0.429 0.070 0.250
0.262 0.272 0.976
0.873 0.627 0.250
0.127 0.373 0.750
0.500 0.000 0.000
0.500 0.000 0.500
```



| no. | VASP energy (eV per atom) | V (Å³/atom) |
| --- | --- | --- |
| 1 | -6.88 | 22.86 |
| 2 | -11.75 | 15.76 |
| 3 | -3.46 | 49.15 |
| 4 | -2.38 | 46.05 |